# 1
VASP calculation (PBE-GGA) on crystalline Rb4PuU3S8 at its relaxed geometry.

Energy, eV for the cell shown: -107.3
Space group: No. 166
Magnetization, μB per formula unit: 2.76
Volume, A^3/atom: 28.22

abc: 8.2239 9.0557 8.2229
angles: 117.00 120.00 90.00
Last column: nearest neighbours and their distance in Å.
Fractional positions:
Rb 0.5000 0.0000 0.0000  6 S 3.32
Rb 0.5000 0.0000 0.5000  6 S 3.36-3.37
Rb 0.0000 0.0000 0.0000  6 S 3.36-3.37
Rb 0.0000 0.0000 0.5000  6 S 3.36-3.37
Pu 0.0000 0.5000 0.0000  6 S 2.84
U 0.5000 0.5000 0.0000  6 S 2.78-2.80
U 0.5000 0.5000 0.5000  6 S 2.78-2.80
U 0.0000 0.5000 0.5000  6 S 2.78-2.80
S 0.2341 0.6930 0.9589  2 U 2.78, 1 Pu 2.84
S 0.2341 0.6930 0.4681  2 U 2.78, 1 Pu 2.84
S 0.2695 0.3083 0.5390  3 U 2.80
S 0.7248 0.6930 0.9589  2 U 2.78, 1 Pu 2.84
S 0.2752 0.3070 0.0411  2 U 2.78, 1 Pu 2.84
S 0.7305 0.6917 0.4610  3 U 2.80
S 0.7659 0.3070 0.5319  2 U 2.78, 1 Pu 2.84
S 0.7659 0.3070 0.0411  2 U 2.78, 1 Pu 2.84

=====

# 2
VASP calculation (PBE-GGA) on crystalline Rb2PuUS4 at its relaxed geometry.

Energy, eV for the cell shown: -55.9
Space group: No. 10
Magnetization, μB per formula unit: 8.00
Volume, A^3/atom: 28.25

abc: 4.1163 7.1441 8.0416
angles: 107.12 90.00 90.00
Last column: nearest neighbours and their distance in Å.
Fractional positions:
Rb 0.5000 0.0000 0.5000  6 S 3.33-3.34
Rb 0.0000 0.5000 0.5000  6 S 3.38-3.39
Pu 0.5000 0.5000 0.0000  6 S 2.82-2.83
U 0.0000 0.0000 0.0000  6 S 2.76-2.78
S 0.5000 0.2250 0.1911  2 U 2.78, 1 Pu 2.83
S 0.5000 0.7750 0.8089  2 U 2.78, 1 Pu 2.83
S 0.0000 0.2630 0.8089  1 U 2.76, 2 Pu 2.82
S 0.0000 0.7370 0.1911  1 U 2.76, 2 Pu 2.82

=====

# 3
VASP calculation (PBE-GGA) on crystalline Rb2PuU2S6 at its relaxed geometry.

Energy, eV for the cell shown: -80.0
Space group: No. 12
Magnetization, μB per formula unit: 10.00
Volume, A^3/atom: 30.44

abc: 7.0180 7.0180 8.1852
angles: 98.03 98.03 120.10
Last column: nearest neighbours and their distance in Å.
Fractional positions:
Rb 0.8349 0.1651 0.0000  6 S 3.39-3.41
Rb 0.1651 0.8349 0.0000  6 S 3.39-3.41
Pu 0.0000 0.0000 0.5000  6 S 2.79-2.80
U 0.3343 0.6657 0.5000  6 S 2.73-2.74
U 0.6657 0.3343 0.5000  6 S 2.73-2.74
S 0.7218 0.7218 0.6859  2 U 2.73, 1 Pu 2.79
S 0.0584 0.4010 0.6849  2 U 2.73-2.74, 1 Pu 2.80
S 0.2782 0.2782 0.3141  2 U 2.73, 1 Pu 2.79
S 0.4010 0.0584 0.6849  2 U 2.73-2.74, 1 Pu 2.80
S 0.9416 0.5990 0.3151  2 U 2.73-2.74, 1 Pu 2.80
S 0.5990 0.9416 0.3151  2 U 2.73-2.74, 1 Pu 2.80

=====

# 4
VASP calculation (PBE-GGA) on crystalline Rb2PuVS4 at its relaxed geometry.

Energy, eV for the cell shown: -50.9
Space group: No. 82
Magnetization, μB per formula unit: 7.00
Volume, A^3/atom: 32.55

abc: 7.0883 7.0883 7.0883
angles: 94.33 117.53 117.53
Last column: nearest neighbours and their distance in Å.
Fractional positions:
Rb 0.5000 0.7500 0.2500  4 S 3.28
Rb 0.0000 0.0000 0.0000  4 S 3.49
Pu 0.5000 0.2500 0.7500  4 S 2.66
V 0.0000 0.5000 0.5000  4 S 2.28
S 0.6296 0.4011 0.4693  1 V 2.28
S 0.0682 0.2285 0.5989  1 V 2.28
S 0.9318 0.5307 0.1603  1 V 2.28
S 0.3704 0.8397 0.7715  1 V 2.28